Density functional theory data (PBE with a Hubbard U) for a geometry-optimized V4P2O13 structure.

a = 4.9582 Å, b = 5.0196 Å, c = 8.7765 Å
α = 88.73°, β = 100.15°, γ = 99.62°
Last column: nearest neighbours and their distance in Å.
Fractional coordinates of all 19 atoms:
V  0.7492  0.0477  0.3144  1 O 1.68
V  0.9212  0.8178  0.6426  3 O 1.73-1.92
V  0.4310  0.5370  0.0596  1 O 1.68
V  0.5841  0.2518  0.7034  1 O 1.73
P  0.9848  0.9875  0.9978  4 O 1.52-1.59
P  0.2508  0.5721  0.4140  4 O 1.52-1.58
O  0.0185  0.7404  0.4362  1 P 1.58
O  0.7925  0.8541  0.1137  1 P 1.58
O  0.9326  0.5021  0.7230  1 V 1.73
O  0.7124  0.0736  0.5318  3 V 1.92-2.02
O  0.5920  0.2824  0.2124  1 V 1.68
O  0.8007  0.9789  0.8294  1 P 1.59
O  0.4169  0.7204  0.2911  1 P 1.57
O  0.4604  0.5602  0.5682  1 P 1.56
O  0.5301  0.4366  0.8995  1 V 1.68
O  0.2644  0.0447  0.6889  2 V 1.73-1.87
O  0.0813  0.2844  0.0438  1 P 1.53
O  0.1180  0.2861  0.3605  1 P 1.52
O  0.2187  0.8300  0.9905  1 P 1.52

Uncorrected energy, eV per atom: -7.58
Total moment, μB/f.u.: 4.0
Density, Mg/m³: 3.7